1.
# GaPbI4

A relaxed structure of GaPbI4 (PBE, Alexandria via LeMat-Bulk).

Values from the calculation:
The calculation puts the energy relative to the lowest polymorph listed for this composition at 0.0 meV per atom. For the energy relative to the elements, uncorrected, the calculation gives -446 meV per atom.

abc: 4.3496 7.8658 15.0240
angles: 89.16 90.00 90.00
Closest atoms and distances in Å follow each position.
Element x y z (fractional)
1 I 0.4995 0.1549 0.8825  2 Ga 3.04-3.05, 1 Pb 3.26
2 I 0.5005 0.8451 0.1175  2 Ga 3.04-3.05, 1 Pb 3.26
3 I 0.9995 0.3452 0.6175  2 Ga 3.04-3.05, 1 Pb 3.26
4 I 0.5000 0.8043 0.6236  1 Ga 3.05, 2 Pb 3.23
5 I 0.0000 0.6957 0.8764  1 Ga 3.05, 2 Pb 3.23
6 I 0.0000 0.3043 0.1236  1 Ga 3.05, 2 Pb 3.23
7 I 0.5000 0.1957 0.3764  1 Ga 3.05, 2 Pb 3.23
8 I 0.0005 0.6548 0.3825  2 Ga 3.04-3.05, 1 Pb 3.26
9 Pb 0.5000 0.5000 0.0000  6 I 3.23-3.26
10 Pb 0.0000 0.0000 0.5000  6 I 3.23-3.26
11 Ga 0.0000 0.0000 0.0000  6 I 3.04-3.05
12 Ga 0.5000 0.5000 0.5000  6 I 3.04-3.05

2.
# Ga2PbI4

A relaxed structure of Ga2PbI4 (PBE, Alexandria via LeMat-Bulk).

Values from the calculation:
The calculation puts the energy relative to the lowest polymorph listed for this composition at 97.2 meV per atom. For the energy relative to the elements, uncorrected, the calculation gives -357 meV per atom.

abc: 6.4809 6.4809 8.8397
angles: 111.50 111.50 90.00
Closest atoms and distances in Å follow each position.
Element x y z (fractional)
1 Pb 0.0000 0.0000 0.0000  6 I 3.17-3.24
2 Ga 0.6031 0.6031 0.2063  1 I 2.83, 1 Ga 3.12
3 Ga 0.3969 0.3969 0.7937  1 I 2.83, 1 Ga 3.12
4 I 0.0000 0.5000 0.0000  2 Pb 3.24, 4 Ga 3.60
5 I 0.5000 0.0000 0.0000  2 Pb 3.24, 4 Ga 3.60
6 I 0.7903 0.7903 0.5806  1 Ga 2.83
7 I 0.2097 0.2097 0.4194  1 Ga 2.83

3.
# Ga2PbI6

A relaxed structure of Ga2PbI6 (PBE, Alexandria via LeMat-Bulk).

Values from the calculation:
The calculation puts the energy relative to the lowest polymorph listed for this composition at 122.1 meV per atom. For the energy relative to the elements, uncorrected, the calculation gives -423 meV per atom.

abc: 5.1582 7.6861 11.5304
angles: 90.46 90.00 109.61
Closest atoms and distances in Å follow each position.
Element x y z (fractional)
1 Ga 0.7183 0.4366 0.7896  4 I 2.72-2.85
2 Ga 0.2817 0.5634 0.2104  4 I 2.72-2.85
3 I 0.3615 0.7230 0.4375  1 Ga 2.85
4 I 0.0964 0.1928 0.2481  1 Ga 2.72
5 I 0.6385 0.2770 0.5625  1 Ga 2.85
6 I 0.8206 0.6412 0.1384  2 Ga 2.77
7 I 0.1794 0.3588 0.8616  2 Ga 2.77
8 I 0.9036 0.8072 0.7519  1 Ga 2.72
9 Pb 0.0000 0.0000 0.5000  6 I 3.23-3.34

4.
# Pr8Ga3PbI4

A relaxed structure of Pr8Ga3PbI4 (PBE, Alexandria via LeMat-Bulk).

Values from the calculation:
For the energy relative to the elements, uncorrected, the calculation gives -778 meV per atom.

abc: 9.0027 9.1808 9.0028
angles: 119.36 120.00 90.00
Closest atoms and distances in Å follow each position.
Element x y z (fractional)
1 Pr 0.7560 0.2856 0.5119  2 Ga 3.03, 1 Pb 3.14, 1 I 3.31
2 Pr 0.7560 0.2856 0.0296  2 Ga 3.03, 1 Pb 3.14, 1 I 3.31
3 Pr 0.2737 0.2856 0.0296  2 Ga 3.03, 1 Pb 3.14, 1 I 3.31
4 Pr 0.7263 0.7144 0.9704  2 Ga 3.03, 1 Pb 3.14, 1 I 3.31
5 Pr 0.2440 0.7144 0.4881  2 Ga 3.03, 1 Pb 3.14, 1 I 3.31
6 Pr 0.7362 0.7087 0.4725  3 Ga 3.04
7 Pr 0.2440 0.7144 0.9704  2 Ga 3.03, 1 Pb 3.14, 1 I 3.31
8 Pr 0.2638 0.2913 0.5275  3 Ga 3.04
9 I 0.0000 0.0000 0.0000  6 Pr 3.41-3.42
10 I 0.0000 0.0000 0.5000  6 Pr 3.41-3.42
11 I 0.5000 0.0000 0.0000  6 Pr 3.31
12 I 0.5000 0.0000 0.5000  6 Pr 3.41-3.42
13 Ga 0.0000 0.5000 0.5000  6 Pr 3.03-3.04
14 Ga 0.5000 0.5000 0.0000  6 Pr 3.03-3.04
15 Ga 0.5000 0.5000 0.5000  6 Pr 3.03-3.04
16 Pb 0.0000 0.5000 0.0000  6 Pr 3.14

5.
# GaRePb2I

A relaxed structure of GaRePb2I (PBE, Alexandria via LeMat-Bulk).

Values from the calculation:
For the energy relative to the elements, uncorrected, the calculation gives 1455 meV per atom.

abc: 5.4957 5.5394 5.4957
angles: 90.00 90.00 90.00
Closest atoms and distances in Å follow each position.
Element x y z (fractional)
1 Ga 0.0000 0.0000 0.0000  4 Pb 2.75, 2 I 2.77
2 Pb 0.5000 0.0000 0.0000  2 Ga 2.75
3 Pb 0.0000 0.0000 0.5000  2 Ga 2.75
4 Re 0.5000 0.5000 0.5000  4 I 3.89, 8 Pb 3.90
5 I 0.0000 0.5000 0.0000  2 Ga 2.77

6.
# Ga2SnPbI

A relaxed structure of Ga2SnPbI (PBE, Alexandria via LeMat-Bulk).

Values from the calculation:
For the energy relative to the elements, uncorrected, the calculation gives 642 meV per atom.

abc: 5.7661 6.0441 5.7661
angles: 90.00 90.00 90.00
Closest atoms and distances in Å follow each position.
Element x y z (fractional)
1 I 0.0000 0.0000 0.0000  4 Ga 2.88, 2 Pb 3.02
2 Ga 0.5000 0.0000 0.0000  2 I 2.88
3 Ga 0.0000 0.0000 0.5000  2 I 2.88
4 Sn 0.5000 0.5000 0.5000  4 Pb 4.08, 8 Ga 4.18
5 Pb 0.0000 0.5000 0.0000  2 I 3.02

7.
# GaTe2PbI

A relaxed structure of GaTe2PbI (PBE, Alexandria via LeMat-Bulk).

Values from the calculation:
The calculation puts the energy relative to the lowest polymorph listed for this composition at 204.0 meV per atom. For the energy relative to the elements, uncorrected, the calculation gives 238 meV per atom.

abc: 5.8955 5.8955 6.3225
angles: 90.00 90.00 90.00
Closest atoms and distances in Å follow each position.
Element x y z (fractional)
1 Te 0.0000 0.5000 0.0000  2 Pb 2.95
2 Te 0.5000 0.0000 0.0000  2 Pb 2.95
3 Ga 0.5000 0.5000 0.5000  4 I 4.17, 8 Te 4.32
4 I 0.0000 0.0000 0.5000  2 Pb 3.16
5 Pb 0.0000 0.0000 0.0000  4 Te 2.95, 2 I 3.16

8.
# GaTe2PbI

A relaxed structure of GaTe2PbI (PBE, Alexandria via LeMat-Bulk).

Values from the calculation:
The calculation puts the energy relative to the lowest polymorph listed for this composition at 0.0 meV per atom. For the energy relative to the elements, uncorrected, the calculation gives 34 meV per atom.

abc: 5.4276 5.4276 5.7409
angles: 90.00 90.00 90.00
Closest atoms and distances in Å follow each position.
Element x y z (fractional)
1 Te 0.5000 0.0000 0.0000  2 Ga 2.71
2 Te 0.0000 0.5000 0.0000  2 Ga 2.71
3 I 0.0000 0.0000 0.5000  2 Ga 2.87
4 Ga 0.0000 0.0000 0.0000  4 Te 2.71, 2 I 2.87
5 Pb 0.5000 0.5000 0.5000  4 I 3.84, 8 Te 3.95

9.
# GaTePbI2

A relaxed structure of GaTePbI2 (PBE, Alexandria via LeMat-Bulk).

Values from the calculation:
The calculation puts the energy relative to the lowest polymorph listed for this composition at 715.1 meV per atom. For the energy relative to the elements, uncorrected, the calculation gives 726 meV per atom.

abc: 7.6598 7.6598 8.8293
angles: 90.00 90.00 90.00
Closest atoms and distances in Å follow each position.
Element x y z (fractional)
1 I 0.5000 0.0000 0.0000  2 Pb 3.83
2 I 0.0000 0.5000 0.0000  2 Pb 3.83
3 Ga 0.5000 0.5000 0.5000  4 Te 5.42, 8 I 5.84
4 Pb 0.0000 0.0000 0.0000  4 I 3.83
5 Te 0.0000 0.0000 0.5000  2 Pb 4.41

10.
# GaTePbI2

A relaxed structure of GaTePbI2 (PBE, Alexandria via LeMat-Bulk).

Values from the calculation:
The calculation puts the energy relative to the lowest polymorph listed for this composition at 162.4 meV per atom. For the energy relative to the elements, uncorrected, the calculation gives 173 meV per atom.

abc: 5.4790 6.0955 5.4790
angles: 90.00 90.00 90.00
Closest atoms and distances in Å follow each position.
Element x y z (fractional)
1 I 0.5000 0.0000 0.0000  2 Ga 2.74
2 I 0.0000 0.0000 0.5000  2 Ga 2.74
3 Ga 0.0000 0.0000 0.0000  4 I 2.74, 2 Pb 3.05
4 Te 0.5000 0.5000 0.5000  4 Pb 3.87, 8 I 4.10
5 Pb 0.0000 0.5000 0.0000  2 Ga 3.05

11.
# GaTePbI2

A relaxed structure of GaTePbI2 (PBE, Alexandria via LeMat-Bulk).

Values from the calculation:
The calculation puts the energy relative to the lowest polymorph listed for this composition at 0.0 meV per atom. For the energy relative to the elements, uncorrected, the calculation gives 11 meV per atom.

abc: 5.9415 5.9415 5.8841
angles: 90.00 90.00 90.00
Closest atoms and distances in Å follow each position.
Element x y z (fractional)
1 I 0.0000 0.5000 0.0000  2 Ga 2.97
2 I 0.5000 0.0000 0.0000  2 Ga 2.97
3 Pb 0.5000 0.5000 0.5000  8 I 4.18, 4 Te 4.20
4 Te 0.0000 0.0000 0.5000  2 Ga 2.94
5 Ga 0.0000 0.0000 0.0000  2 Te 2.94, 4 I 2.97

12.
# Tl3Ga3PbI8

A relaxed structure of Tl3Ga3PbI8 (PBE, Alexandria via LeMat-Bulk).

Values from the calculation:
For the energy relative to the elements, uncorrected, the calculation gives -531 meV per atom.

abc: 9.5648 9.5664 9.8175
angles: 119.17 90.00 120.00
Closest atoms and distances in Å follow each position.
Element x y z (fractional)
1 Tl 0.0000 0.5000 0.0000  6 I 3.53
2 Tl 0.5000 0.5000 0.0000  6 I 3.53
3 Tl 0.0000 0.0000 0.0000  6 I 3.52-3.53
4 I 0.7603 0.0133 0.2737  1 Pb 3.28, 2 Ga 3.33, 2 Tl 3.53
5 I 0.2397 0.9867 0.7263  1 Pb 3.28, 2 Ga 3.33, 2 Tl 3.53
6 I 0.7602 0.5205 0.2735  1 Pb 3.28, 2 Ga 3.33, 2 Tl 3.53
7 I 0.2398 0.4795 0.7265  1 Pb 3.28, 2 Ga 3.33, 2 Tl 3.53
8 I 0.7470 0.9867 0.7263  1 Pb 3.28, 2 Ga 3.33, 2 Tl 3.53
9 I 0.2566 0.5133 0.2700  3 Ga 3.33, 3 Tl 3.52-3.53
10 I 0.7434 0.4867 0.7300  3 Ga 3.33, 3 Tl 3.52-3.53
11 I 0.2530 0.0133 0.2737  1 Pb 3.28, 2 Ga 3.33, 2 Tl 3.53
12 Ga 0.5000 0.0000 0.5000  6 I 3.33
13 Ga 0.5000 0.5000 0.5000  6 I 3.33
14 Ga 0.0000 0.5000 0.5000  6 I 3.33
15 Pb 0.0000 0.0000 0.5000  6 I 3.28

| no. | E (eV/atom) |
| --- | --- |
| 1 | -2.6024 |
| 2 | -2.6375 |
| 3 | -2.5407 |
| 4 | -4.3550 |
| 5 | -3.4335 |
| 6 | -2.4214 |
| 7 | -2.6754 |
| 8 | -2.8794 |
| 9 | -1.8694 |
| 10 | -2.4220 |
| 11 | -2.5844 |
| 12 | -2.6832 |